Material: Ce2ThPb2
Method: DFT, PBE
State: relaxed

It has space group P4/mbm (No. 127), with a = 9.0969 Å, b = 9.0969 Å, c = 3.6385 Å, α = 90.00°, β = 90.00° and γ = 90.00°. The distinct sites, in fractional coordinates, are Ce at (0.1036, 0.3964, 0.0000), Th at (0.0000, 0.0000, 0.0000) and Pb at (0.1904, 0.6904, 0.5000).

For the offset from the most stable computed form, the calculation gives 0 meV/atom. For the formation energy, the calculation gives -0.175 eV per atom. The calculation puts the total magnetization at 1.9 μB/f.u. The value obtained for the total DFT energy (no corrections) is -5.516 eV per atom.